MnTlI2 | PBE | relaxed

Cell lengths 10.0158, 10.0158, 6.0488 Å; angles 90.00, 90.00, 90.00 degrees
With the nearest neighbours (Å) after each atom.
Space group I-42d (No. 122)
Symmetry-distinct sites (fractional):
Mn: 0.0000 0.0000 0.0000 (multiplicity 4)  4 I 2.81, 2 Tl 3.02
Tl: 0.0000 0.0000 0.5000 (multiplicity 4)  2 Mn 3.02
I: 0.1027 0.2500 0.1250 (multiplicity 8)  2 Mn 2.81

Results
energy above the most stable polymorph in this dataset: 53.4 meV per atom
uncorrected formation energy: -0.1511 eV/atom
total energy: -0.1400 hartree per atom
total magnetic moment: 16.03 Bohr magnetons per cell